{
  "formula": "Dy6Pd2Rh",
  "functional": "PBE",
  "state": "relaxed",
  "final_energy_ev_per_fu": -50.7,
  "delta_e_f_ev_per_fu": -5.3,
  "sg": "P2_1/c, No. 14",
  "m_tot_mub_per_fu": 0.00,
  "cell": [[6.5101, 0.0000, 0.1835], [0.0000, 7.3334, 0.0000], [-0.5337, 0.0000, 10.0186]],
  "species": ["Dy", "Dy", "Dy", "Dy", "Dy", "Dy", "Dy", "Dy", "Dy", "Dy", "Dy", "Dy", "Pd", "Pd", "Pd", "Pd", "Rh", "Rh"],
  "frac_coords": [[0.8474, 0.9601, 0.2465], [0.8275, 0.6744, 0.5688], [0.8405, 0.6846, 0.9321], [0.6595, 0.1846, 0.5679], [0.6725, 0.1744, 0.9312], [0.6526, 0.4601, 0.2535], [0.1526, 0.0399, 0.7535], [0.1725, 0.3256, 0.4312], [0.1595, 0.3154, 0.0679], [0.3405, 0.8154, 0.4321], [0.3275, 0.8256, 0.0688], [0.3474, 0.5399, 0.7465], [0.9401, 0.3842, 0.7600], [0.5599, 0.8842, 0.7400], [0.4401, 0.1158, 0.2600], [0.0599, 0.6158, 0.2400], [0.5000, 0.5000, 0.0000], [0.0000, 0.0000, 0.5000]]
}

{
  "formula": "Dy7Pd2Rh2",
  "functional": "PBE",
  "state": "relaxed",
  "final_energy_ev_per_fu": -64.7,
  "delta_e_f_ev_per_fu": -7.4,
  "sg": "Imm2, No. 44",
  "m_tot_mub_per_fu": 0.00,
  "relative_energy_mev_per_atom": 0,
  "cell": [[3.7594, 0.0000, 0.8063], [1.0282, 7.9173, 4.3734], [0.0143, -0.1788, 9.1013]],
  "species": ["Dy", "Dy", "Dy", "Dy", "Dy", "Dy", "Dy", "Pd", "Pd", "Rh", "Rh"],
  "frac_coords": [[0.8113, 0.0856, 0.2918], [0.8708, 0.3872, 0.8711], [0.5000, 0.9997, 0.0003], [0.6173, 0.4881, 0.2773], [0.3827, 0.7227, 0.5119], [0.1887, 0.7082, 0.9144], [0.1292, 0.1289, 0.6128], [0.0000, 0.7700, 0.2300], [0.5000, 0.3582, 0.6418], [0.7392, 0.8635, 0.6582], [0.2608, 0.3418, 0.1365]]
}

{
  "formula": "Dy2PdRh",
  "functional": "PBE",
  "state": "relaxed",
  "final_energy_ev_per_fu": -25.3,
  "delta_e_f_ev_per_fu": -3.6,
  "sg": "P4/mmm, No. 123",
  "m_tot_mub_per_fu": 0.00,
  "cell": [[-1.3704, 0.6553, -3.1081], [-0.7486, -3.3563, -0.3776], [-6.2096, 1.0520, 2.9596]],
  "species": ["Rh", "Pd", "Dy", "Dy"],
  "frac_coords": [[0.5000, 0.5000, 0.0000], [0.5000, 0.5000, 0.5000], [0.0000, 0.0000, 0.7587], [0.0000, 0.0000, 0.2413]]
}

{
  "formula": "Dy2Pd5Rh",
  "functional": "PBE",
  "state": "relaxed",
  "final_energy_ev_per_fu": -48.8,
  "delta_e_f_ev_per_fu": -6.3,
  "sg": "Pbam, No. 55",
  "m_tot_mub_per_fu": 0.00,
  "cell": [[-0.6311, 3.6270, -1.7368], [-0.9537, -2.6196, -5.1240], [-11.3799, -0.7760, 2.5148]],
  "species": ["Dy", "Dy", "Dy", "Dy", "Pd", "Pd", "Pd", "Pd", "Pd", "Pd", "Pd", "Pd", "Pd", "Pd", "Rh", "Rh"],
  "frac_coords": [[0.5000, 0.2467, 0.6228], [0.5000, 0.7533, 0.3772], [0.5000, 0.2533, 0.1228], [0.5000, 0.7467, 0.8772], [0.0000, 0.0000, 0.0000], [0.0000, 0.5000, 0.5000], [0.0000, 0.5030, 0.7492], [0.0000, 0.4970, 0.2508], [0.0000, 0.9970, 0.2492], [0.0000, 0.0030, 0.7508], [0.5000, 0.2525, 0.8755], [0.5000, 0.7475, 0.1245], [0.5000, 0.2475, 0.3755], [0.5000, 0.7525, 0.6245], [0.0000, 0.0000, 0.5000], [0.0000, 0.5000, 0.0000]]
}

{
  "formula": "Dy2PdRh",
  "functional": "PBE",
  "state": "relaxed",
  "final_energy_ev_per_fu": -25.3,
  "delta_e_f_ev_per_fu": -3.5,
  "sg": "Fm-3m, No. 225",
  "m_tot_mub_per_fu": 0.00,
  "cell": [[4.9016, 0.0000, 0.0000], [2.4508, 4.2449, 0.0000], [2.4508, 1.4150, 4.0021]],
  "species": ["Rh", "Pd", "Dy", "Dy"],
  "frac_coords": [[0.2500, 0.2500, 0.2500], [0.7500, 0.7500, 0.7500], [0.5000, 0.5000, 0.5000], [0.0000, 0.0000, 0.0000]]
}

{
  "formula": "Dy2Pd3Rh",
  "functional": "PBE",
  "state": "relaxed",
  "final_energy_ev_per_fu": -36.5,
  "delta_e_f_ev_per_fu": -4.4,
  "sg": "Ibam, No. 72",
  "m_tot_mub_per_fu": 0.00,
  "cell": [[5.5526, 0.0000, -2.3052], [-0.9697, 5.4641, -2.3358], [-0.0124, 0.0190, 7.8099]],
  "species": ["Dy", "Dy", "Dy", "Dy", "Pd", "Pd", "Pd", "Pd", "Pd", "Pd", "Rh", "Rh"],
  "frac_coords": [[0.3935, 0.1523, 0.3047], [0.6065, 0.8477, 0.6953], [0.0888, 0.3477, 0.6953], [0.9112, 0.6523, 0.3047], [0.3880, 0.6360, 0.2720], [0.6120, 0.3640, 0.7280], [0.1160, 0.8640, 0.7280], [0.8840, 0.1360, 0.2720], [0.5000, 0.7500, 0.0000], [0.5000, 0.2500, 0.0000], [0.0000, 0.2500, 0.0000], [0.0000, 0.7500, 0.0000]]
}